A geometry-optimized K2Pa3BiO12 structure, computed with PBE.

Its formation energy from raw total energies is -2.45 eV/atom. The space-group type is R-3m (166). The spin magnetization comes out at 0.00 μB/f.u.

Lattice parameters (Å, degrees): 8.0280 8.0280 8.0280 60.20 60.20 60.20
With the nearest neighbours (Å) after each atom.
Fractional positions:
K (0.1015, 0.1015, 0.1015)  3 O 3.24
K (0.8985, 0.8985, 0.8985)  3 O 3.24
Pa (0.0000, 0.5000, 0.5000)  6 O 2.13-2.16
Pa (0.5000, 0.0000, 0.5000)  6 O 2.13-2.16
Pa (0.5000, 0.5000, 0.0000)  6 O 2.13-2.16
Bi (0.5000, 0.5000, 0.5000)  6 O 2.14
O (0.1822, 0.1822, 0.5794)  2 Pa 2.16
O (0.1822, 0.5794, 0.1822)  2 Pa 2.16
O (0.1860, 0.5638, 0.5638)  1 Pa 2.13, 1 Bi 2.14
O (0.4206, 0.8178, 0.8178)  2 Pa 2.16
O (0.4362, 0.4362, 0.8140)  1 Pa 2.13, 1 Bi 2.14
O (0.4362, 0.8140, 0.4362)  1 Pa 2.13, 1 Bi 2.14
O (0.5638, 0.1860, 0.5638)  1 Pa 2.13, 1 Bi 2.14
O (0.5638, 0.5638, 0.1860)  1 Pa 2.13, 1 Bi 2.14
O (0.5794, 0.1822, 0.1822)  2 Pa 2.16
O (0.8140, 0.4362, 0.4362)  1 Pa 2.13, 1 Bi 2.14
O (0.8178, 0.4206, 0.8178)  2 Pa 2.16
O (0.8178, 0.8178, 0.4206)  2 Pa 2.16